The following is a PBE with a Hubbard U calculation of a geometry-optimized CdFe4F12 structure, from the Alexandria database.

a b c (Å): 6.832 6.858 6.858
angles (deg): 108.93 111.96 107.71
Site moments in Bohr magnetons follow the coordinates.
Atoms (fractional coordinates):
F 0.176 0.723 0.928  0.09
F 0.824 0.753 0.547  0.09
F 0.287 0.089 0.786  0.11
F 0.599 0.277 0.322  0.04
F 0.946 0.248 0.698  0.11
F 0.287 0.501 0.198  0.11
F 0.713 0.911 0.214  0.11
F 0.401 0.723 0.678  0.04
F 0.176 0.247 0.453  0.09
F 0.713 0.499 0.802  0.11
F 0.054 0.752 0.302  0.11
F 0.824 0.277 0.072  0.09
Fe 0.500 0.500 0.500  3.83
Fe 0.000 0.000 0.500  4.49
Fe 0.500 0.000 0.000  3.83
Fe 0.000 0.500 0.000  4.49
Cd 0.000 0.500 0.500  0.00

Calculated values
For the magnetic moment, the calculation gives 1.059 μB per atom. The volume is 247 Å³/cell. The calculation puts the electronic total energy at -5.082 eV/atom.